A plane-wave DFT calculation with PBE+U was carried out for an optimized crystal structure of MoNF2.

Its total energy is -4.69 eV per atom. The calculation puts the density of states at the Fermi level at 1.09 states/eV per atom. The calculation puts the total magnetic moment at 4.00 μB/cell.

The structure belongs to space group Fm-3m (No. 225); the cell edges are 5.634, 5.634 and 5.634 Å and the angles 90.00°, 90.00° and 90.00°. The asymmetric unit holds Mo at (0.000, 0.000, 0.000), N at (0.000, 0.000, 0.500) and F at (0.250, 0.250, 0.250).